[1]
! PBE Tb12Ho7In, optimized geometry; values from VASP
&SYSTEM
  ibrav = 0, nat = 20, ntyp = 3
/
ATOMIC_SPECIES
Tb 158.93 Tb.upf
Ho 164.93 Ho.upf
In 114.82 In.upf
CELL_PARAMETERS angstrom
-7.3085 -4.5516 -0.4074
4.3605 -7.3609 -1.0490
0.1263 -1.4170 8.5014
ATOMIC_POSITIONS angstrom
Tb 2.2970 -6.4346 1.3579
Tb -4.0347 -8.1339 2.3927
Tb 0.9934 -8.7709 3.2014
Tb 1.4629 -7.8655 6.4867
Tb -1.2095 -3.2040 6.0660
Tb -3.8151 -4.5586 3.8436
Tb -1.6122 -10.1255 0.9790
Tb -0.9458 -7.0060 0.3623
Tb 1.2130 -5.1956 4.6523
Tb -1.8759 -6.3235 6.6827
Tb -5.1187 -6.8949 5.6871
Tb -4.2846 -5.4640 0.5583
Ho -2.5228 -2.4248 1.0208
Ho 0.2263 -1.9096 3.0965
Ho -3.0480 -11.4199 3.9485
Ho -3.4405 -9.7381 6.9733
Ho -1.4109 -6.6648 3.5225
Ho 0.6188 -3.5914 0.0717
Ho -0.2989 -10.9048 6.0243
In 0.0000 0.0000 0.0000
! Space-group type   R-3
! ΔE_f   319 kJ/mol of formula units

[2]
! PBE Tb2Ho6In3, optimized geometry; values from VASP
&SYSTEM
  ibrav = 0, nat = 11, ntyp = 3
/
ATOMIC_SPECIES
In 114.82 In.upf
Ho 164.93 Ho.upf
Tb 158.93 Tb.upf
CELL_PARAMETERS angstrom
4.5137 0.0000 0.0000
0.0000 4.5137 0.0000
-2.2569 -2.2569 16.6477
ATOMIC_POSITIONS angstrom
In 2.2569 2.2569 10.1935
In 0.0000 0.0000 0.0000
In 0.0000 0.0000 6.4542
Ho 2.2568 0.0000 4.2456
Ho 0.0000 2.2569 4.2456
Ho 0.0000 0.0000 9.5621
Ho 0.0000 2.2568 12.4022
Ho 2.2569 2.2568 7.0857
Ho 2.2569 0.0000 12.4022
Tb 0.0000 0.0000 15.1617
Tb 2.2568 2.2569 1.4861
! Space-group type   I4/mmm
! ΔE_f   15 kJ/mol of formula units

[3]
! PBE Tb2Ho2In, optimized geometry; values from VASP
&SYSTEM
  ibrav = 0, nat = 5, ntyp = 3
/
ATOMIC_SPECIES
Tb 158.93 Tb.upf
Ho 164.93 Ho.upf
In 114.82 In.upf
CELL_PARAMETERS angstrom
4.3261 0.0000 0.0000
0.0000 4.3261 0.0000
-2.1631 -2.1631 8.6211
ATOMIC_POSITIONS angstrom
Tb 2.1631 0.0000 4.3106
Tb 0.0000 2.1631 4.3106
Ho 2.1631 2.1631 1.5364
Ho 0.0000 0.0000 7.0848
In 0.0000 0.0000 0.0000
! Space-group type   I4/mmm
! ΔE_f   145 kJ/mol of formula units
! Offset from the most stable computed form   270 meV per atom

[4]
! PBE Tb5Ho4In, optimized geometry; values from VASP
&SYSTEM
  ibrav = 0, nat = 10, ntyp = 3
/
ATOMIC_SPECIES
Tb 158.93 Tb.upf
Ho 164.93 Ho.upf
In 114.82 In.upf
CELL_PARAMETERS angstrom
5.8017 0.0000 0.0000
2.9009 7.4660 0.0000
2.9009 0.0000 7.4660
ATOMIC_POSITIONS angstrom
Tb 2.6359 4.6861 0.0009
Tb 5.5367 7.4651 4.6861
Tb 3.8806 0.0000 0.0000
Tb 5.5367 0.0009 2.7798
Tb 8.4376 2.7798 7.4651
Ho 5.5653 2.3608 5.1057
Ho 2.6645 2.3602 2.3608
Ho 5.5653 5.1051 2.3602
Ho 8.4662 5.1057 5.1051
In 1.0855 0.0000 0.0000
! Space-group type   I4mm
! ΔE_f   127 kJ/mol of formula units
! Offset from the most stable computed form   117 meV per atom

[5]
! PBE Tb4HoIn, optimized geometry; values from VASP
&SYSTEM
  ibrav = 0, nat = 12, ntyp = 3
/
ATOMIC_SPECIES
Tb 158.93 Tb.upf
Ho 164.93 Ho.upf
In 114.82 In.upf
CELL_PARAMETERS angstrom
-1.4812 3.5822 -3.7918
-9.6112 -5.3765 -1.3249
-1.7981 1.6919 6.1781
ATOMIC_POSITIONS angstrom
Tb -5.1601 4.2127 2.1182
Tb -8.0203 -1.3427 1.8646
Tb -10.0242 -3.8398 0.2883
Tb -6.6960 -3.7365 -0.9142
Tb -3.2384 2.1531 -0.5783
Tb -11.5546 -1.7579 2.8529
Tb -6.6674 1.6111 0.2492
Tb -5.1553 -0.4811 -2.3180
Ho -8.6633 -0.8955 -1.3392
Ho -3.8484 1.0050 2.4528
In -5.0447 -1.3460 0.6991
In -11.6011 -0.8571 -0.1553
! Space-group type   Cmc2_1
! ΔE_f   -76 kJ/mol of formula units
! Offset from the most stable computed form   18 meV per atom

[6]
! PBE Tb3Ho4In2, optimized geometry; values from VASP
&SYSTEM
  ibrav = 0, nat = 9, ntyp = 3
/
ATOMIC_SPECIES
In 114.82 In.upf
Ho 164.93 Ho.upf
Tb 158.93 Tb.upf
CELL_PARAMETERS angstrom
-0.9095 -4.8586 -1.8821
3.7959 -1.4940 -5.4092
8.0706 -4.7753 1.0058
ATOMIC_POSITIONS angstrom
In 2.2605 -5.5029 -1.7450
In 8.6965 -5.6250 -4.5405
Ho 8.9059 -6.7725 -1.6720
Ho 4.2203 -2.8472 -2.1193
Ho 2.0511 -4.3554 -4.6135
Ho 6.7367 -8.2807 -4.1662
Tb 5.5017 -6.2123 -1.4799
Tb 0.0000 0.0000 0.0000
Tb 5.4553 -4.9156 -4.8056
! Space-group type   C2/m
! ΔE_f   -172 kJ/mol of formula units

[7]
! PBE Tb4HoIn2, optimized geometry; values from VASP
&SYSTEM
  ibrav = 0, nat = 14, ntyp = 3
/
ATOMIC_SPECIES
Tb 158.93 Tb.upf
In 114.82 In.upf
Ho 164.93 Ho.upf
CELL_PARAMETERS angstrom
5.3527 0.0000 0.0000
0.0000 9.0534 0.0000
0.0000 0.0000 9.0534
ATOMIC_POSITIONS angstrom
Tb 2.6763 7.5266 3.8198
Tb 2.6763 5.2335 1.5267
Tb 0.0000 6.0534 8.3465
Tb 2.6763 3.8198 7.5266
Tb 0.0000 2.9999 0.7069
Tb 0.0000 8.3465 6.0534
Tb 2.6763 1.5267 5.2335
Tb 0.0000 0.7069 2.9999
In 2.6763 6.8305 6.8305
In 0.0000 2.3038 6.7495
In 0.0000 6.7495 2.3038
In 2.6763 2.2228 2.2228
Ho 0.0000 4.5267 4.5267
Ho 2.6763 0.0000 0.0000
! Space-group type   P4_2/mnm
! ΔE_f   -77 kJ/mol of formula units
! Offset from the most stable computed form   0 meV per atom

[8]
! PBE Tb6HoIn4, optimized geometry; values from VASP
&SYSTEM
  ibrav = 0, nat = 11, ntyp = 3
/
ATOMIC_SPECIES
In 114.82 In.upf
Ho 164.93 Ho.upf
Tb 158.93 Tb.upf
CELL_PARAMETERS angstrom
-6.9647 3.8340 1.1471
3.0358 -5.1213 5.3924
7.0958 3.7407 0.4228
ATOMIC_POSITIONS angstrom
In 5.1128 0.2647 4.6491
In -0.5862 2.0034 3.0936
In 3.7094 -2.0744 3.3455
In 5.0624 0.8790 1.6893
Ho 0.0000 0.0000 0.0000
Tb 0.0656 3.7874 0.7850
Tb 8.0121 0.6776 3.2269
Tb -1.9644 -0.6437 3.2697
Tb 6.4861 -2.6532 5.0947
Tb -3.3685 2.2596 1.2775
Tb 2.1687 0.7888 3.1784
! Space-group type   I-42m
! ΔE_f   -108 kJ/mol of formula units